Density functional theory data (PBEsol) for an optimized crystal structure of KLi3Zr2Si12O30.

a = 10.1749 Å, b = 10.1749 Å, c = 14.3623 Å
α = 90.00°, β = 90.00°, γ = 120.00°
Closest atoms and distances in Å follow each position.
Space group P6/mcc (No. 192)
Unique sites:
K1 0.0000 0.0000 0.2500 [2 per cell]  12 O 3.05
Li1 0.0000 0.5000 0.2500 [6 per cell]  4 O 1.95
Zr1 0.3333 0.6667 0.2500 [4 per cell]  6 O 2.08
Si1 0.1118 0.3515 0.1100 [24 per cell]  4 O 1.61-1.63
O1 0.0601 0.2777 0.3641 [24 per cell]  2 Si 1.63
O2 0.1244 0.3912 0.0000 [12 per cell]  2 Si 1.62
O3 0.1565 0.4995 0.1722 [24 per cell]  1 Si 1.61

Calculated values
* volume: 643.8 Å³/f.u.
* total magnetization: 0.0 μB/f.u.
* formation energy (no corrections): -2852 meV/atom

---

Density functional theory data (PBEsol) for an optimized crystal structure of Ta2BTeOs.

a = 4.2530 Å, b = 4.2530 Å, c = 4.5515 Å
α = 90.00°, β = 90.00°, γ = 90.00°
Closest atoms and distances in Å follow each position.
Space group P4/mmm (No. 123)
Unique sites:
Ta1 0.0000 0.5000 0.0000 [2 per cell]  2 B 2.13
B1 0.0000 0.0000 0.0000 [1 per cell]  4 Ta 2.13, 2 Te 2.28
Te1 0.0000 0.0000 0.5000 [1 per cell]  2 B 2.28
Os1 0.5000 0.5000 0.5000 [1 per cell]  4 Te 3.01, 8 Ta 3.11

Calculated values
* volume: 82.3 Å³/f.u.
* total magnetization: 0.0 μB/f.u.
* formation energy (no corrections): 803 meV/atom

---

Density functional theory data (PBEsol) for an optimized crystal structure of Sr2LuIrO6.

a = 5.7092 Å, b = 5.7185 Å, c = 9.8657 Å
α = 90.00°, β = 125.12°, γ = 90.00°
Closest atoms and distances in Å follow each position.
Space group P2_1/c (No. 14)
Unique sites:
Sr1 0.2434 0.0283 0.2492 [4 per cell]  7 O 2.54-2.82
Lu1 0.5000 0.0000 0.0000 [2 per cell]  6 O 2.14
Ir1 0.0000 0.0000 0.5000 [2 per cell]  6 O 1.96-1.97
O1 0.1734 0.2288 0.9666 [4 per cell]  1 Ir 1.97, 1 Lu 2.14
O2 0.2371 0.7087 0.9672 [4 per cell]  1 Ir 1.97, 1 Lu 2.14
O3 0.3018 0.0111 0.7389 [4 per cell]  1 Ir 1.96, 1 Lu 2.14

Calculated values
* volume: 131.7 Å³/f.u.
* total magnetization: 2.0 μB/f.u.
* formation energy (no corrections): -2456 meV/atom

---

Density functional theory data (PBEsol) for an optimized crystal structure of Co2P.

a = 6.5742 Å, b = 5.1693 Å, c = 3.9043 Å
α = 90.00°, β = 90.00°, γ = 90.00°
Closest atoms and distances in Å follow each position.
Space group Cmcm (No. 63)
Unique sites:
Co1 0.1877 0.1376 0.2500 [8 per cell]  4 P 2.16-2.36, 4 Co 2.41-2.42
P1 0.0000 0.2332 0.7500 [4 per cell]  8 Co 2.16-2.36

Calculated values
* volume: 33.2 Å³/f.u.
* total magnetization: 0.6 μB/f.u.
* ΔH_f (0 K): -0.335 eV/atom